# PmNdCu (PBE-GGA, relaxed)
data_PmNdCu
_chemical_formula_sum 'Pm4 Nd4 Cu4'
_space_group_name_H-M_alt 'C 1 m 1'
_space_group_IT_number 8
_space_group_name_Hall 'C -2y'
_cell_length_a 13.798
_cell_length_b 3.857
_cell_length_c 6.914
_cell_angle_alpha 90.00
_cell_angle_beta 114.84
_cell_angle_gamma 90.00
loop_
_atom_site_label
_atom_site_type_symbol
_atom_site_fract_x
_atom_site_fract_y
_atom_site_fract_z
Pm1 Pm 0.000 0.000 0.000
Pm2 Pm 0.224 0.500 0.984
Nd1 Nd 0.027 0.000 0.531
Nd2 Nd 0.303 0.000 0.555
Cu1 Cu 0.126 0.500 0.346
Cu2 Cu 0.401 0.000 0.180
# - ΔE_f: -0.055 eV/atom
# - E above lowest polymorph: 0.047 eV/atom


# SrLaW2 (PBE-GGA, relaxed)
data_SrLaW2
_chemical_formula_sum 'Sr3 La3 W6'
_space_group_name_H-M_alt 'R 3 m'
_space_group_IT_number 160
_space_group_name_Hall 'R 3 -2"'
_cell_length_a 3.4548
_cell_length_b 3.4548
_cell_length_c 31.3699
_cell_angle_alpha 90.00
_cell_angle_beta 90.00
_cell_angle_gamma 120.00
loop_
_atom_site_label
_atom_site_type_symbol
_atom_site_fract_x
_atom_site_fract_y
_atom_site_fract_z
Sr1 Sr 0.0000 0.0000 0.0000
La1 La 0.0000 0.0000 0.2162
W1 W 0.0000 0.0000 0.4698
W2 W 0.0000 0.0000 0.7527
# - ΔE_f: 0.834 eV/atom
# - E above lowest polymorph: 0.296 eV/atom


# InReBr2 (PBE-GGA, relaxed)
data_InReBr2
_chemical_formula_sum 'In2 Re2 Br4'
_space_group_name_H-M_alt 'C 1 m 1'
_space_group_IT_number 8
_space_group_name_Hall 'C -2y'
_cell_length_a 10.294
_cell_length_b 3.256
_cell_length_c 7.461
_cell_angle_alpha 90.00
_cell_angle_beta 112.10
_cell_angle_gamma 90.00
loop_
_atom_site_label
_atom_site_type_symbol
_atom_site_fract_x
_atom_site_fract_y
_atom_site_fract_z
In1 In 0.000 0.000 0.000
Re1 Re 0.229 0.500 0.000
Br1 Br 0.169 0.000 0.711
Br2 Br 0.326 0.000 0.289
# - E above lowest polymorph: 0.099 eV/atom
# - Formation energy (no corrections): 0.268 eV/atom


# Tl2ReTcO (PBE-GGA, relaxed)
data_Tl2ReTcO
_chemical_formula_sum 'Tl2 Re1 Tc1 O1'
_space_group_name_H-M_alt 'P 4/m m m'
_space_group_IT_number 123
_space_group_name_Hall '-P 4 2'
_cell_length_a 5.491
_cell_length_b 5.491
_cell_length_c 3.676
_cell_angle_alpha 90.00
_cell_angle_beta 90.00
_cell_angle_gamma 90.00
loop_
_atom_site_label
_atom_site_type_symbol
_atom_site_fract_x
_atom_site_fract_y
_atom_site_fract_z
Tl1 Tl 0.000 0.500 0.000
Re1 Re 0.000 0.000 0.000
Tc1 Tc 0.500 0.500 0.500
O1 O 0.000 0.000 0.500
# - Formation energy (no corrections): 0.717 eV/atom